The following is a DFT calculation (PBEsol) of an optimized crystal structure of TlPb2Se.

Cell lengths 3.908, 5.123, 10.963 Å; angles 90.00, 90.00, 90.00 degrees
Space group Imm2 (No. 44)
Unique sites:
Tl 0.000 0.000 0.000 x2
Pb 0.000 0.000 0.558 x2
Pb 0.000 0.500 0.778 x2
Se 0.000 0.500 0.271 x2

Formation energy without anion corrections, eV per atom: -0.131
Size of the total moment, μB/atom: 0.000
DOS(E_F), states/eV per cell: 3.801
Final energy, eV for the cell shown: -30.004


The following is a DFT calculation (PBEsol) of an optimized crystal structure of ZnFe3.

Cell lengths 2.898, 3.935, 7.963 Å; angles 90.00, 90.00, 90.00 degrees
Space group Cmmm (No. 65)
Unique sites:
Zn 0.000 0.000 0.000 x2
Fe 0.000 0.000 0.500 x2
Fe 0.000 0.500 0.257 x4

ΔE_f, eV per atom: 0.046
Size of the total moment, μB/atom: 1.629
DOS(E_F), states/eV per cell: 6.648
Final energy, eV for the cell shown: -56.581